Pr3Er4Zn4 | PBE | relaxed

Values from the calculation:
Space-group type: Immm (71)
ΔH_f (0 K), eV/atom: -0.144

Unit cell a=9.166 b=9.166 c=9.166 alpha=148.96 beta=131.08 gamma=59.07
Positions (direct):
Pr 0.000 0.000 0.000
Pr 0.389 0.889 0.500
Pr 0.611 0.111 0.500
Er 0.042 0.326 0.716
Er 0.391 0.674 0.716
Er 0.609 0.326 0.284
Er 0.958 0.674 0.284
Zn 0.206 0.206 0.000
Zn 0.325 0.500 0.825
Zn 0.675 0.500 0.175
Zn 0.794 0.794 0.000